Computed, not measured: a relaxed Sr2TcAs crystal at the PBE level of DFT.

Calculated values
VASP energy: -4.1442 eV per atom
ΔE_f: 451 meV per atom

Structure (POSCAR):
```
Sr2TcAs
1.0
4.242 0.000 0.000
0.000 4.242 0.000
0.000 0.000 6.681
Sr Tc As
2 1 1
direct
0.000 0.000 0.000
0.500 0.500 0.370
0.000 0.000 0.554
0.500 0.500 0.828
```